A relaxed structure of HoErCu2Si4. Source: the Open Quantum Materials Database, functional PBE.

Properties
E_tot: -85.4 eV per cell
symmetry: Amm2

Lattice parameters (Å, degrees): 3.965 3.973 16.888 90.00 90.00 90.00
Element x y z (fractional)
Ho 0.000 0.000 0.000
Ho 0.000 0.500 0.500
Er 0.500 0.000 0.798
Er 0.500 0.500 0.298
Cu 0.000 0.000 0.228
Cu 0.000 0.500 0.728
Cu 0.500 0.000 0.570
Cu 0.500 0.500 0.070
Si 0.000 0.000 0.362
Si 0.000 0.000 0.649
Si 0.000 0.500 0.149
Si 0.000 0.500 0.862
Si 0.500 0.000 0.149
Si 0.500 0.000 0.435
Si 0.500 0.500 0.649
Si 0.500 0.500 0.935

A relaxed structure of K2NiBiCl6. Source: the Open Quantum Materials Database, functional PBE.

Properties
E_tot: -34.7 eV per cell
symmetry: Fm-3m

Lattice parameters (Å, degrees): 7.287 7.287 7.287 60.00 60.00 60.00
Element x y z (fractional)
K 0.250 0.250 0.250
K 0.750 0.750 0.750
Ni 0.000 0.000 0.000
Bi 0.500 0.500 0.500
Cl 0.235 0.235 0.765
Cl 0.235 0.765 0.235
Cl 0.235 0.765 0.765
Cl 0.765 0.235 0.235
Cl 0.765 0.235 0.765
Cl 0.765 0.765 0.235

A relaxed structure of ZrMo. Source: the Open Quantum Materials Database, functional PBE.

Properties
symmetry: Pm
formation energy from the elements: 0.064 eV per atom
energy above the most stable polymorph in this dataset: 55.3 meV per atom

Lattice parameters (Å, degrees): 5.594 4.802 7.139 90.00 101.47 90.00
Element x y z (fractional)
Zr 0.000 0.000 0.000
Zr 0.114 0.500 0.694
Zr 0.312 0.500 0.136
Zr 0.443 0.000 0.792
Zr 0.612 0.000 0.234
Mo 0.188 0.000 0.411
Mo 0.548 0.500 0.518
Mo 0.722 0.500 0.921
Mo 0.829 0.000 0.602
Mo 0.902 0.500 0.307

A relaxed structure of PdBr2. Source: the Open Quantum Materials Database, functional PBE.

Properties
E_tot: -56.7 eV per cell
symmetry: R-3

Lattice parameters (Å, degrees): 8.672 8.672 8.672 108.53 108.53 108.53
Element x y z (fractional)
Pd 0.181 0.390 0.458
Pd 0.390 0.458 0.181
Pd 0.458 0.181 0.390
Pd 0.542 0.819 0.610
Pd 0.610 0.542 0.819
Pd 0.819 0.610 0.542
Br 0.072 0.348 0.139
Br 0.139 0.072 0.348
Br 0.224 0.710 0.569
Br 0.290 0.431 0.776
Br 0.348 0.139 0.072
Br 0.431 0.776 0.290
Br 0.569 0.224 0.710
Br 0.652 0.861 0.928
Br 0.710 0.569 0.224
Br 0.776 0.290 0.431
Br 0.861 0.928 0.652
Br 0.928 0.652 0.861

A relaxed structure of K2HoO4. Source: the Open Quantum Materials Database, functional PBE.

Properties
E_tot: -71.8 eV per cell
symmetry: Fd-3m

Lattice parameters (Å, degrees): 7.315 7.315 7.315 60.00 60.00 60.00
Element x y z (fractional)
K 0.000 0.000 0.000
K 0.000 0.000 0.500
K 0.000 0.500 0.000
K 0.500 0.000 0.000
Ho 0.375 0.375 0.375
Ho 0.625 0.625 0.625
O 0.257 0.257 0.257
O 0.257 0.257 0.730
O 0.257 0.730 0.257
O 0.270 0.743 0.743
O 0.730 0.257 0.257
O 0.743 0.270 0.743
O 0.743 0.743 0.270
O 0.743 0.743 0.743

A relaxed structure of Gd2SiNi. Source: the Open Quantum Materials Database, functional PBE.

Properties
symmetry: Pmc2_1
energy above the most stable polymorph in this dataset: 0.0 meV per atom

Lattice parameters (Å, degrees): 4.109 5.653 7.481 90.00 90.00 90.00
Element x y z (fractional)
Gd 0.000 0.116 0.000
Gd 0.000 0.884 0.500
Gd 0.500 0.380 0.643
Gd 0.500 0.620 0.143
Si 0.000 0.366 0.356
Si 0.000 0.634 0.856
Ni 0.500 0.135 0.288
Ni 0.500 0.865 0.788